The following is a SCAN calculation of InSb2HF at its PBEsol-relaxed geometry, from the Alexandria database.

extended XYZ file:
```
5
Lattice="-2.032 -3.940 0.167 1.259 -0.470 4.228 -3.835 2.037 1.369" Properties=species:S:1:pos:R:3 pbc="T T T"
Sb 0.630 -0.235 2.114
F -1.918 1.018 0.684
H 0.000 0.000 0.000
Sb -1.016 -1.970 0.084
In -2.304 -1.187 2.882
```

Values from the calculation:
As for the space group: P4/mmm, No. 123. The calculation puts the total energy at -23.076 eV per atom.